Record 1
The following is a DFT calculation (PBE) of a geometry-optimized SmInPt structure.

Summary:
- Size of the total moment: 0.02 μB/cell
- VASP energy: -56.5 eV/cell

Structure (CIF):
```
data_SmInPt
_chemical_formula_sum 'Sm4 In4 Pt4'
_space_group_name_H-M_alt 'F -4 3 m'
_space_group_IT_number 216
_space_group_name_Hall 'F -4 2 3'
_cell_length_a 6.904
_cell_length_b 6.904
_cell_length_c 6.904
_cell_angle_alpha 90.00
_cell_angle_beta 90.00
_cell_angle_gamma 90.00
loop_
_atom_site_label
_atom_site_type_symbol
_atom_site_fract_x
_atom_site_fract_y
_atom_site_fract_z
_atom_site_occupancy
Sm1 Sm 0.000 0.000 0.000 1
In1 In 0.250 0.250 0.750 1
Pt1 Pt 0.250 0.250 0.250 1
```

Record 2
The following is a DFT calculation (PBE) of a geometry-optimized Sm3InPt8 structure.

Summary:
- Size of the total moment: 0.02 μB/cell
- VASP energy: -230.2 eV/cell

Structure (CIF):
```
data_Sm3InPt8
_chemical_formula_sum 'Sm9 In3 Pt24'
_space_group_name_H-M_alt 'R 3 m'
_space_group_IT_number 160
_space_group_name_Hall 'R 3 -2"'
_cell_length_a 5.4685
_cell_length_b 5.4685
_cell_length_c 26.7253
_cell_angle_alpha 90.00
_cell_angle_beta 90.00
_cell_angle_gamma 120.00
loop_
_atom_site_label
_atom_site_type_symbol
_atom_site_fract_x
_atom_site_fract_y
_atom_site_fract_z
_atom_site_occupancy
Sm1 Sm 0.0000 0.0000 0.0000 1
Sm2 Sm 0.0000 0.0000 0.1283 1
Sm3 Sm 0.0000 0.0000 0.6161 1
In1 In 0.0000 0.0000 0.4911 1
Pt1 Pt 0.0000 0.0000 0.3113 1
Pt2 Pt 0.0000 0.0000 0.8114 1
Pt3 Pt 0.0024 0.5012 0.5619 1
Pt4 Pt 0.1674 0.3347 0.3935 1
```

Record 3
The following is a DFT calculation (PBE) of a geometry-optimized SmInPt structure.

Summary:
- Size of the total moment: 0.02 μB/cell
- VASP energy: -46.8 eV/cell

Structure (CIF):
```
data_SmInPt
_chemical_formula_sum 'Sm3 In3 Pt3'
_space_group_name_H-M_alt 'P -6 2 m'
_space_group_IT_number 189
_space_group_name_Hall 'P -6 -2'
_cell_length_a 7.2276
_cell_length_b 7.2276
_cell_length_c 4.4789
_cell_angle_alpha 90.00
_cell_angle_beta 90.00
_cell_angle_gamma 120.00
loop_
_atom_site_label
_atom_site_type_symbol
_atom_site_fract_x
_atom_site_fract_y
_atom_site_fract_z
_atom_site_occupancy
Sm1 Sm 0.0000 0.5615 0.0000 1
In1 In 0.0000 0.0000 0.0000 1
In2 In 0.3333 0.6667 0.5000 1
Pt1 Pt 0.0000 0.2398 0.5000 1
```

Record 4
The following is a DFT calculation (PBE) of a geometry-optimized SmInPt structure.

Summary:
- Size of the total moment: 0.01 μB/cell
- VASP energy: -49.3 eV/cell

Structure (CIF):
```
data_SmInPt
_chemical_formula_sum 'Sm3 In3 Pt3'
_space_group_name_H-M_alt 'P -6 2 m'
_space_group_IT_number 189
_space_group_name_Hall 'P -6 -2'
_cell_length_a 7.5572
_cell_length_b 7.5572
_cell_length_c 4.1080
_cell_angle_alpha 90.00
_cell_angle_beta 90.00
_cell_angle_gamma 120.00
loop_
_atom_site_label
_atom_site_type_symbol
_atom_site_fract_x
_atom_site_fract_y
_atom_site_fract_z
_atom_site_occupancy
Sm1 Sm 0.0000 0.5900 0.0000 1
In1 In 0.0000 0.2535 0.5000 1
Pt1 Pt 0.0000 0.0000 0.0000 1
Pt2 Pt 0.3333 0.6667 0.5000 1
```

Record 5
The following is a DFT calculation (PBE) of a geometry-optimized SmYIn2Pt4 structure.

Summary:
- Size of the total moment: 0.00 μB/cell
- VASP energy: -48.5 eV/cell

Structure (CIF):
```
data_SmYIn2Pt4
_chemical_formula_sum 'Sm1 Y1 In2 Pt4'
_space_group_name_H-M_alt 'P -6 m 2'
_space_group_IT_number 187
_space_group_name_Hall 'P -6 2'
_cell_length_a 4.6031
_cell_length_b 4.6031
_cell_length_c 9.1142
_cell_angle_alpha 90.00
_cell_angle_beta 90.00
_cell_angle_gamma 120.00
loop_
_atom_site_label
_atom_site_type_symbol
_atom_site_fract_x
_atom_site_fract_y
_atom_site_fract_z
_atom_site_occupancy
Sm1 Sm 0.0000 0.0000 0.0000 1
Y1 Y 0.3333 0.6667 0.5000 1
In1 In 0.6667 0.3333 0.2524 1
Pt1 Pt 0.0000 0.0000 0.3426 1
Pt2 Pt 0.3333 0.6667 0.1615 1
```

Record 6
The following is a DFT calculation (PBE) of a geometry-optimized InSn5Pt3 structure.

Summary:
- Size of the total moment: 0.01 μB/cell
- VASP energy: -42.8 eV/cell

Structure (CIF):
```
data_InSn5Pt3
_chemical_formula_sum 'In1 Sn5 Pt3'
_space_group_name_H-M_alt 'P 6/m m m'
_space_group_IT_number 191
_space_group_name_Hall '-P 6 2'
_cell_length_a 5.5400
_cell_length_b 5.5400
_cell_length_c 8.0698
_cell_angle_alpha 90.00
_cell_angle_beta 90.00
_cell_angle_gamma 120.00
loop_
_atom_site_label
_atom_site_type_symbol
_atom_site_fract_x
_atom_site_fract_y
_atom_site_fract_z
_atom_site_occupancy
In1 In 0.0000 0.0000 0.0000 1
Sn1 Sn 0.0000 0.0000 0.5000 1
Sn2 Sn 0.3333 0.6667 0.1974 1
Pt1 Pt 0.0000 0.5000 0.5000 1
```

Record 7
The following is a DFT calculation (PBE) of a geometry-optimized Tm2InSnPt4 structure.

Summary:
- Size of the total moment: 0.00 μB/cell
- VASP energy: -47.9 eV/cell

Structure (CIF):
```
data_Tm2InSnPt4
_chemical_formula_sum 'Tm2 In1 Sn1 Pt4'
_space_group_name_H-M_alt 'P -3 m 1'
_space_group_IT_number 164
_space_group_name_Hall '-P 3 2"'
_cell_length_a 4.5532
_cell_length_b 4.5532
_cell_length_c 8.9706
_cell_angle_alpha 90.00
_cell_angle_beta 90.00
_cell_angle_gamma 120.00
loop_
_atom_site_label
_atom_site_type_symbol
_atom_site_fract_x
_atom_site_fract_y
_atom_site_fract_z
_atom_site_occupancy
Tm1 Tm 0.3333 0.6667 0.2491 1
In1 In 0.0000 0.0000 0.0000 1
Sn1 Sn 0.0000 0.0000 0.5000 1
Pt1 Pt 0.3333 0.6667 0.5913 1
Pt2 Pt 0.3333 0.6667 0.9088 1
```

Record 8
The following is a DFT calculation (PBE) of a geometry-optimized Tm3InSn2Pt3 structure.

Summary:
- Size of the total moment: 0.03 μB/cell
- VASP energy: -103.8 eV/cell

Structure (CIF):
```
data_Tm3InSn2Pt3
_chemical_formula_sum 'Tm6 In2 Sn4 Pt6'
_space_group_name_H-M_alt 'A m m 2'
_space_group_IT_number 38
_space_group_name_Hall 'A 2 -2'
_cell_length_a 3.804
_cell_length_b 13.217
_cell_length_c 7.614
_cell_angle_alpha 90.00
_cell_angle_beta 90.00
_cell_angle_gamma 90.00
loop_
_atom_site_label
_atom_site_type_symbol
_atom_site_fract_x
_atom_site_fract_y
_atom_site_fract_z
_atom_site_occupancy
Tm1 Tm 0.000 0.000 0.000 1
Tm2 Tm 0.000 0.199 0.610 1
In1 In 0.500 0.000 0.671 1
Sn1 Sn 0.500 0.133 0.275 1
Pt1 Pt 0.000 0.000 0.401 1
Pt2 Pt 0.500 0.167 0.908 1
```

Record 9
The following is a DFT calculation (PBE) of a geometry-optimized Zn2InSnPt4 structure.

Summary:
- Size of the total moment: 0.00 μB/cell
- VASP energy: -36.7 eV/cell

Structure (CIF):
```
data_Zn2InSnPt4
_chemical_formula_sum 'Zn2 In1 Sn1 Pt4'
_space_group_name_H-M_alt 'P 4/m m m'
_space_group_IT_number 123
_space_group_name_Hall '-P 4 2'
_cell_length_a 4.546
_cell_length_b 4.546
_cell_length_c 6.422
_cell_angle_alpha 90.00
_cell_angle_beta 90.00
_cell_angle_gamma 90.00
loop_
_atom_site_label
_atom_site_type_symbol
_atom_site_fract_x
_atom_site_fract_y
_atom_site_fract_z
_atom_site_occupancy
Zn1 Zn 0.000 0.000 0.000 1
Zn2 Zn 0.500 0.500 0.500 1
In1 In 0.000 0.000 0.500 1
Sn1 Sn 0.500 0.500 0.000 1
Pt1 Pt 0.000 0.500 0.246 1
```

Record 10
The following is a DFT calculation (PBE) of a geometry-optimized SrIn2Pt2 structure.

Summary:
- Size of the total moment: 0.01 μB/cell
- VASP energy: -45.4 eV/cell

Structure (CIF):
```
data_SrIn2Pt2
_chemical_formula_sum 'Sr2 In4 Pt4'
_space_group_name_H-M_alt 'I 4/m m m'
_space_group_IT_number 139
_space_group_name_Hall '-I 4 2'
_cell_length_a 4.477
_cell_length_b 4.477
_cell_length_c 11.778
_cell_angle_alpha 90.00
_cell_angle_beta 90.00
_cell_angle_gamma 90.00
loop_
_atom_site_label
_atom_site_type_symbol
_atom_site_fract_x
_atom_site_fract_y
_atom_site_fract_z
_atom_site_occupancy
Sr1 Sr 0.000 0.000 0.000 1
In1 In 0.000 0.500 0.250 1
Pt1 Pt 0.000 0.000 0.388 1
```

Record 11
The following is a DFT calculation (PBE) of a geometry-optimized Sr2InPt structure.

Summary:
- Size of the total moment: 0.02 μB/cell
- VASP energy: -57.7 eV/cell

Structure (CIF):
```
data_Sr2InPt
_chemical_formula_sum 'Sr8 In4 Pt4'
_space_group_name_H-M_alt 'C m c m'
_space_group_IT_number 63
_space_group_name_Hall '-C 2c 2'
_cell_length_a 3.965
_cell_length_b 13.006
_cell_length_c 9.350
_cell_angle_alpha 90.00
_cell_angle_beta 90.00
_cell_angle_gamma 90.00
loop_
_atom_site_label
_atom_site_type_symbol
_atom_site_fract_x
_atom_site_fract_y
_atom_site_fract_z
_atom_site_occupancy
Sr1 Sr 0.000 0.134 0.064 1
In1 In 0.000 0.423 0.250 1
Pt1 Pt 0.000 0.226 0.750 1
```